Entry 1:
20
Lattice="-4.031 -2.871 -3.605 5.683 -2.357 -4.031 2.085 -3.930 5.879" Properties=species:S:1:pos:R:3 comment="HgTeO3 PBEsol optimized geometry" formation_energy_uncorrected_ev_per_atom=-0.762 space_group="P-1, No. 2" pbc="T T T"
O 0.462 -2.579 1.922
Hg 4.673 -6.859 -1.297
Te 5.447 -3.279 -1.453
O 3.276 -6.578 -3.679
O 1.575 -5.905 -1.130
Hg -0.935 -2.299 -0.460
O 2.163 -3.252 -0.627
O 0.150 -3.485 -4.803
Te 2.191 -5.557 0.649
O 1.073 -4.032 4.311
O 3.588 -5.672 3.046
Hg -1.965 -4.005 -3.683
O 2.665 -5.126 -6.068
Te 1.547 -3.600 -2.406
O 4.107 -3.355 -2.931
O -0.369 -5.803 1.174
Hg 5.703 -5.152 1.926
O 4.056 -5.410 0.093
O -0.318 -3.748 -1.850
Te -1.709 -5.879 -0.304

Entry 2:
5
Lattice="4.348 0.000 0.000 0.000 4.719 0.000 0.000 0.000 4.719" Properties=species:S:1:pos:R:3 comment="TiPIrS2 PBEsol optimized geometry" formation_energy_uncorrected_ev_per_atom=0.447 space_group="P4/mmm, No. 123" pbc="T T T"
P 2.174 0.000 0.000
S 0.000 0.000 2.360
Ti 2.174 2.360 2.360
Ir 0.000 0.000 0.000
S 0.000 2.360 0.000

Entry 3:
5
Lattice="4.712 0.000 0.000 0.000 5.533 0.000 0.000 0.000 5.533" Properties=species:S:1:pos:R:3 comment="Ca2ZnCrAs PBEsol optimized geometry" space_group="P4/mmm, No. 123" formation_energy_kj_per_mol_atoms=25.11 pbc="T T T"
As 0.000 0.000 0.000
Zn 2.356 0.000 0.000
Ca 0.000 0.000 2.767
Ca 0.000 2.767 0.000
Cr 2.356 2.767 2.767

Entry 4:
5
Lattice="4.151 0.000 0.000 0.000 4.151 0.000 0.000 0.000 4.151" Properties=species:S:1:pos:R:3 comment="Mn3CS PBEsol optimized geometry" formation_energy_uncorrected_ev_per_atom=1.437 space_group="Pm-3m, No. 221" pbc="T T T"
Mn 0.000 2.076 0.000
C 2.076 2.076 2.076
Mn 0.000 0.000 2.076
S 0.000 0.000 0.000
Mn 2.076 0.000 0.000

Entry 5:
5
Lattice="-3.502 1.134 -0.215 -0.247 -1.765 -5.278 -1.726 -4.998 1.753" Properties=species:S:1:pos:R:3 comment="ScIrI2N PBEsol optimized geometry" formation_energy_uncorrected_ev_per_atom=0.150 space_group="P4/mmm, No. 123" pbc="T T T"
I -0.863 -2.499 0.876
I -0.124 -0.883 -2.639
Sc -2.738 -2.815 -1.870
Ir 0.000 0.000 0.000
N -1.751 0.567 -0.108

Entry 6:
5
Lattice="-1.756 4.134 1.134 0.197 -1.146 4.484 4.418 1.804 0.267" Properties=species:S:1:pos:R:3 comment="MgMoPd2W PBEsol optimized geometry" space_group="P4/mmm, No. 123" formation_energy_kj_per_mol_atoms=187.66 pbc="T T T"
Pd 0.098 -0.573 2.242
W 1.429 2.396 2.943
Pd -0.878 2.067 0.567
Mo 0.000 0.000 0.000
Mg 2.209 0.902 0.134

no.,magnetization (μB per cell),energy (eV per cell)
1,0.00,-94.6
2,1.28,-30.5
3,5.45,-19.9
4,8.46,-36.1
5,1.00,-27.7
6,2.96,-29.5